Entry 1:
PrTmGa2Rh2, optimized geometry, DFT PBE; raw total energy = -5.81 eV per atom; density = 8.95 g/cm3
1.0
4.437 0.000 0.000
-2.218 3.842 0.000
0.000 0.000 7.132
Pr Rh Ga Tm
1 2 2 1
Cartesian
0.000 0.000 0.000
2.218 1.281 2.196
0.000 2.561 4.936
0.000 2.561 1.973
2.218 1.281 5.159
0.000 0.000 3.566

=====

Entry 2:
Pr2TmGa2Rh5, optimized geometry, DFT PBE; raw total energy = -6.46 eV per atom; density = 9.74 g/cm3
1.0
-0.682 0.639 3.483
-7.219 -7.235 -0.087
6.972 -6.989 2.648
Pr Tm Rh Ga
4 2 10 4
Cartesian
-1.252 -10.686 1.716
-3.653 -6.104 0.404
3.405 -8.119 2.157
1.005 -3.537 0.846
0.000 0.000 0.000
-0.124 -7.112 1.281
-1.404 -1.706 1.905
-1.458 -4.802 2.462
-5.575 -7.911 2.226
-3.951 -3.298 1.698
1.556 -5.727 3.223
4.646 -5.674 3.818
-2.486 -7.857 2.821
3.145 -3.175 3.065
0.528 -8.782 3.582
0.474 -11.879 4.139
1.637 -10.636 2.272
-3.703 -9.000 0.926
3.456 -5.224 1.636
-1.884 -3.587 0.289

=====

Entry 3:
Pr2UGaRh6, optimized geometry, DFT PBE; raw total energy = -7.36 eV per atom; density = 10.07 g/cm3
1.0
-4.601 0.602 4.337
4.016 -5.029 1.868
2.711 0.051 6.539
Rh Pr Ga U
6 2 1 1
Cartesian
2.146 -3.659 3.081
0.748 -2.917 11.252
1.648 -1.062 4.269
-0.021 -0.716 9.663
0.477 -3.313 8.474
1.377 -1.458 1.492
2.518 -3.408 5.978
-0.392 -0.967 6.765
0.000 0.000 0.000
-0.293 -2.213 3.102